## Na3NbV2O6 (GGA+U)

Data for crystalline Na3NbV2O6 at its relaxed geometry.

Lattice parameters (Å, degrees): 5.4450 5.4450 5.7625 99.06 99.06 119.97
Closest atoms and distances in Å follow each position.
Positions (direct):
Na: 0.5000 0.5000 0.5000  6 O 2.38-2.50
Na: 0.1722 0.8278 0.5000  6 O 2.38-2.46
Na: 0.8278 0.1722 0.5000  6 O 2.38-2.46
O: 0.3846 0.0697 0.2091  1 Nb 2.06, 2 V 2.19
O: 0.2448 0.2448 0.7917  1 Nb 2.06, 2 V 2.19
O: 0.0697 0.3846 0.2091  1 Nb 2.06, 2 V 2.19
O: 0.6154 0.9303 0.7909  1 Nb 2.06, 2 V 2.19
O: 0.9303 0.6154 0.7909  1 Nb 2.06, 2 V 2.19
O: 0.7552 0.7552 0.2083  1 Nb 2.06, 2 V 2.19
V: 0.3335 0.6665 0.0000  6 O 2.19
V: 0.6665 0.3335 0.0000  6 O 2.19
Nb: 0.0000 0.0000 0.0000  6 O 2.06

Computed properties:
- Density: 4.25 Mg/m³
- Magnetic moment: 6.00 μB per formula unit
- VASP energy: -82.66 eV/cell
- SG: C2/m, No. 12